Here is a relaxed structure of Lu4Zr2S3N3 from the Open Quantum Materials Database. Energies are from PBE.

Summary:
**E**: -7.8450 eV per atom
**Symmetry**: C2/c, No. 15
**M_tot**: 0.0 μB per cell

a = 5.985 Å, b = 5.985 Å, c = 12.705 Å
α = 103.56°, β = 103.56°, γ = 60.11°
Sites, in units of the cell vectors:
Lu  0.035  0.200  0.103
Lu  0.132  0.299  0.397
Lu  0.200  0.035  0.603
Lu  0.299  0.132  0.897
Lu  0.701  0.868  0.103
Lu  0.800  0.965  0.397
Lu  0.868  0.701  0.603
Lu  0.965  0.800  0.897
Zr  0.367  0.532  0.097
Zr  0.468  0.633  0.403
Zr  0.532  0.367  0.597
Zr  0.633  0.468  0.903
S  0.092  0.908  0.250
S  0.258  0.417  0.750
S  0.417  0.258  0.250
S  0.583  0.742  0.750
S  0.742  0.583  0.250
S  0.908  0.092  0.750
N  0.000  0.500  0.000
N  0.161  0.669  0.500
N  0.331  0.839  0.000
N  0.500  0.000  0.500
N  0.669  0.161  0.000
N  0.839  0.331  0.500